# Sr2ZrHgPb, optimized geometry, DFT PBE-GGA
data_Sr2ZrHgPb
_chemical_formula_sum 'Sr2 Zr1 Hg1 Pb1'
_space_group_name_H-M_alt 'P 4/m m m'
_space_group_IT_number 123
_space_group_name_Hall '-P 4 2'
_cell_length_a 5.996
_cell_length_b 5.996
_cell_length_c 5.702
_cell_angle_alpha 90.00
_cell_angle_beta 90.00
_cell_angle_gamma 90.00
loop_
_atom_site_label
_atom_site_type_symbol
_atom_site_fract_x
_atom_site_fract_y
_atom_site_fract_z
Sr1 Sr 0.000 0.500 0.000
Zr1 Zr 0.000 0.000 0.500
Hg1 Hg 0.500 0.500 0.000
Pb1 Pb 0.500 0.500 0.500
# Energy of formation from the pure elements (kJ/mol of formula units): 270


# TaHgPb2, optimized geometry, DFT PBE-GGA
data_TaHgPb2
_chemical_formula_sum 'Ta3 Hg3 Pb6'
_space_group_name_H-M_alt 'R -3 m'
_space_group_IT_number 166
_space_group_name_Hall '-R 3 2"'
_cell_length_a 3.1942
_cell_length_b 3.1942
_cell_length_c 36.3546
_cell_angle_alpha 90.00
_cell_angle_beta 90.00
_cell_angle_gamma 120.00
loop_
_atom_site_label
_atom_site_type_symbol
_atom_site_fract_x
_atom_site_fract_y
_atom_site_fract_z
Ta1 Ta 0.0000 0.0000 0.0000
Hg1 Hg 0.0000 0.0000 0.5000
Pb1 Pb 0.0000 0.0000 0.2606
# Energy of formation from the pure elements (kJ/mol of formula units): 130


# Ta3HgPb, optimized geometry, DFT PBE-GGA
data_Ta3HgPb
_chemical_formula_sum 'Ta3 Hg1 Pb1'
_space_group_name_H-M_alt 'P m -3 m'
_space_group_IT_number 221
_space_group_name_Hall '-P 4 2 3'
_cell_length_a 5.068
_cell_length_b 5.068
_cell_length_c 5.068
_cell_angle_alpha 90.00
_cell_angle_beta 90.00
_cell_angle_gamma 90.00
loop_
_atom_site_label
_atom_site_type_symbol
_atom_site_fract_x
_atom_site_fract_y
_atom_site_fract_z
Ta1 Ta 0.000 0.000 0.500
Hg1 Hg 0.000 0.000 0.000
Pb1 Pb 0.500 0.500 0.500
# Energy of formation from the pure elements (kJ/mol of formula units): 959
# Excess energy over the best structure of this formula in the dataset (eV/atom): 0.0000


Here are the calculated calculated volume numbers, same order: 205.0 321.2 130.1 (Å³ per cell).